[1]
Dy4ErAgS8: optimized geometry, GGA-PBE.

Lattice parameters (Å, degrees): 8.003 8.003 8.003 60.16 60.16 60.16
Positions (direct):
Dy 0.000 0.000 0.000
Dy 0.380 0.380 0.862
Dy 0.380 0.862 0.380
Dy 0.862 0.380 0.380
Er 0.380 0.380 0.380
Ag 0.751 0.751 0.751
S 0.134 0.134 0.134
S 0.135 0.135 0.599
S 0.135 0.599 0.135
S 0.149 0.616 0.616
S 0.599 0.135 0.135
S 0.616 0.149 0.616
S 0.616 0.616 0.149
S 0.618 0.618 0.618

energy relative to the elements, uncorrected: -1832 meV/atom
N(E_F): 0.00 states/eV/f.u.
V: 25.99 Å³/atom


[2]
Be2SbI: optimized geometry, GGA-PBE.

Lattice parameters (Å, degrees): 4.804 4.804 4.804 60.00 60.00 60.00
Positions (direct):
Be 0.250 0.250 0.250
Be 0.750 0.750 0.750
Sb 0.000 0.000 0.000
I 0.500 0.500 0.500

energy relative to the elements, uncorrected: 1002 meV/atom
energy above the most stable polymorph in this dataset: 3.78 eV/f.u.
N(E_F): 2.07 states/eV/f.u.
V: 19.59 Å³/atom


[3]
Gd3MgS: optimized geometry, GGA-PBE.

Lattice parameters (Å, degrees): 5.297 5.297 5.297 90.00 90.00 90.00
Positions (direct):
Gd 0.000 0.000 0.500
Gd 0.000 0.500 0.000
Gd 0.500 0.000 0.000
Mg 0.500 0.500 0.500
S 0.000 0.000 0.000

energy relative to the elements, uncorrected: -701 meV/atom
N(E_F): 6.31 states/eV/f.u.
V: 29.73 Å³/atom


[4]
SnTeBrN2: optimized geometry, GGA-PBE.

Lattice parameters (Å, degrees): 4.241 4.241 6.327 90.00 90.00 90.00
Positions (direct):
Sn 0.000 0.000 0.000
Te 0.000 0.000 0.500
Br 0.500 0.500 0.500
N 0.000 0.500 0.000
N 0.500 0.000 0.000

energy relative to the elements, uncorrected: 1248 meV/atom
energy above the most stable polymorph in this dataset: 0.00 eV/f.u.
N(E_F): 3.09 states/eV/f.u.
V: 22.76 Å³/atom


> Among the records above, which one has the highest energy relative to the elements, uncorrected?

SnTeBrN2